The following is a DFT calculation (meta-GGA SCAN) of a crystal of TlB2Mo relaxed with PBEsol.

The structure belongs to space group Fm-3m (No. 225); the cell edges are 5.848, 5.848 and 5.848 Å and the angles 90.00°, 90.00° and 90.00°. The distinct sites, in fractional coordinates, are Tl at (0.000, 0.000, 0.000), B at (0.250, 0.250, 0.250) and Mo at (0.000, 0.000, 0.500).

The calculation puts the energy at -462.12 eV/cell. For the spin magnetization, the calculation gives 1.910 μB/cell. For the formation enthalpy at 0 K, the calculation gives 158.5 kJ per mole of atoms. The calculation puts the density of states at the Fermi level at 0.551 states/eV per atom.